A plane-wave DFT calculation with PBE-GGA was carried out for a relaxed ZnIrN crystal.

Unit cell a=3.2260 b=4.8854 c=6.0945 alpha=78.19 beta=74.69 gamma=89.96
Closest atoms and distances in Å follow each position.
Atoms (fractional coordinates):
Zn  0.1681  0.3044  0.1638  1 N 2.03
Zn  0.8319  0.6956  0.8362  1 N 2.03
Ir  0.3972  0.3181  0.7066  2 N 1.87
Ir  0.6028  0.6819  0.2934  2 N 1.87
N  0.1136  0.8813  0.2712  2 Ir 1.87, 1 Zn 2.03
N  0.8864  0.1187  0.7288  2 Ir 1.87, 1 Zn 2.03

Results
The value obtained for the magnetization is 0.00 μB/f.u. Its formation energy (no corrections) is 1.261 eV per formula unit. As for the uncorrected energy: -5.733 eV/atom. The volume is 90.5 Å³/cell.

A plane-wave DFT calculation with PBE-GGA was carried out for a relaxed ZnIrN2 crystal.

Unit cell a=4.7518 b=4.7518 c=8.8367 alpha=90.00 beta=90.00 gamma=90.00
Closest atoms and distances in Å follow each position.
Atoms (fractional coordinates):
Zn  0.0000  0.0000  0.0000  4 N 2.04
Zn  0.0000  0.5000  0.2500  4 N 2.04
Zn  0.5000  0.0000  0.7500  4 N 2.04
Zn  0.5000  0.5000  0.5000  4 N 2.04
Ir  0.0000  0.0000  0.5000  4 N 1.98
Ir  0.0000  0.5000  0.7500  4 N 1.98
Ir  0.5000  0.0000  0.2500  4 N 1.98
Ir  0.5000  0.5000  0.0000  4 N 1.98
N  0.2387  0.2500  0.6250  2 Ir 1.98, 2 Zn 2.04
N  0.2500  0.7387  0.8750  2 Ir 1.98, 2 Zn 2.04
N  0.2500  0.7613  0.3750  2 Ir 1.98, 2 Zn 2.04
N  0.2613  0.2500  0.1250  2 Ir 1.98, 2 Zn 2.04
N  0.7387  0.7500  0.1250  2 Ir 1.98, 2 Zn 2.04
N  0.7500  0.2387  0.3750  2 Ir 1.98, 2 Zn 2.04
N  0.7500  0.2613  0.8750  2 Ir 1.98, 2 Zn 2.04
N  0.7613  0.7500  0.6250  2 Ir 1.98, 2 Zn 2.04

Results
The value obtained for the magnetization is 0.00 μB/f.u. Its formation energy (no corrections) is 2.118 eV per formula unit. As for the uncorrected energy: -6.167 eV/atom. The volume is 199.5 Å³/cell.

A plane-wave DFT calculation with PBE-GGA was carried out for a relaxed Zr4IrN2 crystal.

Unit cell a=5.8389 b=5.8389 c=11.8656 alpha=90.00 beta=90.00 gamma=146.65
Closest atoms and distances in Å follow each position.
Atoms (fractional coordinates):
Zr  0.0000  0.0000  0.0000  4 N 2.35
Zr  0.0000  0.0000  0.5000  4 N 2.35
Zr  0.2677  0.7323  0.6072  3 N 2.27-2.32
Zr  0.2677  0.7323  0.8928  3 N 2.27-2.32
Zr  0.4251  0.5749  0.2500  2 N 2.35
Zr  0.5749  0.4251  0.7500  2 N 2.35
Zr  0.7323  0.2677  0.1072  3 N 2.27-2.32
Zr  0.7323  0.2677  0.3928  3 N 2.27-2.32
Ir  0.1089  0.8911  0.2500  6 Zr 2.65-2.75
Ir  0.8911  0.1089  0.7500  6 Zr 2.65-2.75
N  0.3671  0.6329  0.0597  6 Zr 2.27-2.35
N  0.3671  0.6329  0.4403  6 Zr 2.27-2.35
N  0.6329  0.3671  0.5597  6 Zr 2.27-2.35
N  0.6329  0.3671  0.9403  6 Zr 2.27-2.35

Results
The value obtained for the magnetization is 0.00 μB/f.u. Its formation energy (no corrections) is -8.854 eV per formula unit. As for the uncorrected energy: -9.794 eV/atom. The volume is 222.4 Å³/cell.

A plane-wave DFT calculation with PBE-GGA was carried out for a relaxed ZrIrN2 crystal.

Unit cell a=5.7092 b=2.9538 c=5.9373 alpha=90.00 beta=94.47 gamma=90.00
Closest atoms and distances in Å follow each position.
Atoms (fractional coordinates):
Zr  0.0000  0.0000  0.0000  7 N 2.23-2.38
Zr  0.4786  0.0000  0.7343  4 N 2.17-2.19
Ir  0.4390  0.0000  0.2955  3 N 2.03-2.08
Ir  0.9641  0.5000  0.5343  4 N 2.05-2.12
N  0.1807  0.5000  0.2756  3 Ir 2.05-2.08
N  0.2155  0.5000  0.8177  1 Ir 2.12, 4 Zr 2.19-2.25
N  0.7416  0.5000  0.8454  4 Zr 2.17-2.23, 1 Ir 2.32
N  0.7948  0.0000  0.3316  3 Ir 2.03-2.09

Results
The value obtained for the magnetization is 0.00 μB/f.u. Its formation energy (no corrections) is -1.790 eV per formula unit. As for the uncorrected energy: -8.962 eV/atom. The volume is 99.8 Å³/cell. The calculation puts the energy relative to the lowest polymorph listed for this composition at 91 meV per atom.

A plane-wave DFT calculation with PBE-GGA was carried out for a relaxed Zr3IrN crystal.

Unit cell a=7.3311 b=3.3170 c=7.5271 alpha=90.00 beta=107.76 gamma=90.00
Closest atoms and distances in Å follow each position.
Atoms (fractional coordinates):
Zr  0.0778  0.0000  0.3306  2 N 2.27
Zr  0.3131  0.5000  0.6935  2 N 2.30-2.31
Zr  0.3156  0.0000  0.0606  2 N 2.27
Zr  0.6844  0.0000  0.9394  2 N 2.27
Zr  0.6869  0.5000  0.3065  2 N 2.30-2.31
Zr  0.9222  0.0000  0.6694  2 N 2.27
Ir  0.0000  0.5000  0.0000  8 Zr 2.77-2.90
Ir  0.5000  0.0000  0.5000  6 Zr 2.82-2.97
N  0.0000  0.5000  0.5000  6 Zr 2.27-2.31
N  0.5000  0.5000  0.0000  6 Zr 2.27-2.30

Results
The value obtained for the magnetization is 0.00 μB/f.u. Its formation energy (no corrections) is -4.913 eV per formula unit. As for the uncorrected energy: -9.549 eV/atom. The volume is 174.3 Å³/cell.

A plane-wave DFT calculation with PBE-GGA was carried out for a relaxed ZrIrN2 crystal.

Unit cell a=3.0064 b=11.3789 c=5.6098 alpha=90.00 beta=90.00 gamma=90.00
Closest atoms and distances in Å follow each position.
Atoms (fractional coordinates):
Zr  0.0000  0.0679  0.0000  6 N 2.25-2.35
Zr  0.0000  0.9321  0.5000  6 N 2.25-2.35
Zr  0.5000  0.4321  0.5000  6 N 2.25-2.35
Zr  0.5000  0.5679  0.0000  6 N 2.25-2.35
Ir  0.0000  0.3208  0.9507  4 N 2.02-2.12
Ir  0.0000  0.6792  0.4507  4 N 2.02-2.12
Ir  0.5000  0.1792  0.4507  4 N 2.02-2.12
Ir  0.5000  0.8208  0.9507  4 N 2.02-2.12
N  0.0000  0.2812  0.5994  3 Ir 2.02-2.07
N  0.0000  0.4596  0.2015  1 Ir 2.12, 4 Zr 2.25-2.27
N  0.0000  0.5404  0.7015  1 Ir 2.12, 4 Zr 2.25-2.27
N  0.0000  0.7188  0.0994  3 Ir 2.02-2.07
N  0.5000  0.0404  0.7015  1 Ir 2.12, 4 Zr 2.25-2.27
N  0.5000  0.2188  0.0994  3 Ir 2.02-2.07
N  0.5000  0.7812  0.5994  3 Ir 2.02-2.07
N  0.5000  0.9596  0.2015  1 Ir 2.12, 4 Zr 2.25-2.27

Results
The value obtained for the magnetization is 0.00 μB/f.u. Its formation energy (no corrections) is -1.980 eV per formula unit. As for the uncorrected energy: -9.010 eV/atom. The volume is 191.9 Å³/cell. The calculation puts the energy relative to the lowest polymorph listed for this composition at 44 meV per atom.

A plane-wave DFT calculation with PBE-GGA was carried out for a relaxed ZrIrN2 crystal.

Unit cell a=3.0319 b=3.0808 c=5.4851 alpha=90.00 beta=90.00 gamma=90.00
Closest atoms and distances in Å follow each position.
Atoms (fractional coordinates):
Zr  0.0000  0.0000  0.0000  6 N 2.21-2.25
Ir  0.5000  0.5000  0.4780  3 N 1.99-2.00
N  0.5000  0.0000  0.7073  2 Ir 1.99, 2 Zr 2.21
N  0.5000  0.5000  0.1128  1 Ir 2.00

Results
The value obtained for the magnetization is 0.00 μB/f.u. Its formation energy (no corrections) is -1.885 eV per formula unit. As for the uncorrected energy: -8.986 eV/atom. The volume is 51.2 Å³/cell. The calculation puts the energy relative to the lowest polymorph listed for this composition at 67 meV per atom.

A plane-wave DFT calculation with PBE-GGA was carried out for a relaxed Zr6IrN4 crystal.

Unit cell a=5.8082 b=5.8082 c=17.3431 alpha=90.00 beta=90.00 gamma=146.79
Closest atoms and distances in Å follow each position.
Atoms (fractional coordinates):
Zr  0.0000  0.0000  0.0000  6 N 2.34-2.37
Zr  0.0000  0.0000  0.5000  6 N 2.34-2.37
Zr  0.1529  0.8471  0.7500  2 N 2.34
Zr  0.2759  0.7241  0.0793  5 N 2.27-2.36
Zr  0.2759  0.7241  0.4207  5 N 2.27-2.36
Zr  0.4595  0.5405  0.6504  3 N 2.22-2.30
Zr  0.4595  0.5405  0.8496  3 N 2.22-2.30
Zr  0.5405  0.4595  0.1504  3 N 2.22-2.30
Zr  0.5405  0.4595  0.3496  3 N 2.22-2.30
Zr  0.7241  0.2759  0.5793  5 N 2.27-2.36
Zr  0.7241  0.2759  0.9207  5 N 2.27-2.36
Zr  0.8471  0.1529  0.2500  2 N 2.34
Ir  0.1611  0.8389  0.2500  6 Zr 2.65-2.75
Ir  0.8389  0.1611  0.7500  6 Zr 2.65-2.75
N  0.0950  0.9050  0.6205  6 Zr 2.30-2.34
N  0.0950  0.9050  0.8795  6 Zr 2.30-2.34
N  0.3615  0.6385  0.5392  6 Zr 2.22-2.37
N  0.3615  0.6385  0.9608  6 Zr 2.22-2.37
N  0.6385  0.3615  0.0392  6 Zr 2.22-2.37
N  0.6385  0.3615  0.4608  6 Zr 2.22-2.37
N  0.9050  0.0950  0.1205  6 Zr 2.30-2.34
N  0.9050  0.0950  0.3795  6 Zr 2.30-2.34

Results
The value obtained for the magnetization is 0.00 μB/f.u. Its formation energy (no corrections) is -15.627 eV per formula unit. As for the uncorrected energy: -9.916 eV/atom. The volume is 320.5 Å³/cell.

A plane-wave DFT calculation with PBE-GGA was carried out for a relaxed ZrIrN2 crystal.

Unit cell a=5.5434 b=2.9905 c=6.0118 alpha=90.00 beta=91.87 gamma=90.00
Closest atoms and distances in Å follow each position.
Atoms (fractional coordinates):
Zr  0.0000  0.0000  0.0000  6 N 2.21-2.36
Zr  0.4971  0.0000  0.7311  6 N 2.20-2.38
Ir  0.0544  0.5000  0.5594  4 N 2.02-2.17
Ir  0.5907  0.0000  0.2736  4 N 2.06-2.10
N  0.2565  0.5000  0.8755  1 Ir 2.17, 4 Zr 2.20-2.21
N  0.4056  0.5000  0.4319  3 Ir 2.06-2.12
N  0.7854  0.5000  0.8009  1 Ir 2.11, 4 Zr 2.22-2.23
N  0.8572  0.5000  0.2702  3 Ir 2.02-2.10

Results
The value obtained for the magnetization is 0.00 μB/f.u. Its formation energy (no corrections) is -2.030 eV per formula unit. As for the uncorrected energy: -9.022 eV/atom. The volume is 99.6 Å³/cell. The calculation puts the energy relative to the lowest polymorph listed for this composition at 31 meV per atom.

A plane-wave DFT calculation with PBE-GGA was carried out for a relaxed ZrIrN2 crystal.

Unit cell a=3.1511 b=5.5468 c=5.9185 alpha=107.32 beta=105.27 gamma=90.01
Closest atoms and distances in Å follow each position.
Atoms (fractional coordinates):
Zr  0.0000  0.0000  0.0000  6 N 2.24-2.30
Zr  0.1540  0.5806  0.3015  6 N 2.27-2.34
Ir  0.3931  0.5149  0.7558  3 N 2.01-2.15
Ir  0.7215  0.0784  0.4746  3 N 2.00-2.19
N  0.5629  0.7691  0.1256  2 Ir 2.15-2.19, 4 Zr 2.28-2.30
N  0.6029  0.2682  0.2094  1 Ir 2.09, 4 Zr 2.24-2.29
N  0.8153  0.7336  0.6119  3 Zr 2.25-2.34, 3 Ir 2.28-2.30
N  0.9210  0.3157  0.8178  3 Ir 2.00-2.02

Results
The value obtained for the magnetization is 0.00 μB/f.u. Its formation energy (no corrections) is -2.138 eV per formula unit. As for the uncorrected energy: -9.049 eV/atom. The volume is 94.9 Å³/cell. The calculation puts the energy relative to the lowest polymorph listed for this composition at 4 meV per atom.